Record 1
Computed, not measured: a relaxed GdAgSeO crystal at the PBE-GGA level of DFT.

M_tot	0.00	μB/cell
SG	R-3m, No. 166

a b c (Å): 10.778 10.778 10.778
angles (deg): 24.90 24.90 24.90
Fractional coordinates of all 8 atoms:
Gd 0.230 0.230 0.230
Gd 0.770 0.770 0.770
Ag 0.366 0.366 0.366
Ag 0.634 0.634 0.634
Se 0.125 0.125 0.125
Se 0.875 0.875 0.875
O 0.295 0.295 0.295
O 0.705 0.705 0.705

Record 2
Computed, not measured: a relaxed LaMgCuTeSe2 crystal at the PBE-GGA level of DFT.

M_tot	0.01	μB/cell
SG	Cmcm, No. 63

a b c (Å): 6.971 6.971 11.628
angles (deg): 90.00 90.00 146.49
Fractional coordinates of all 12 atoms:
La 0.000 0.000 0.000
La 0.000 0.000 0.500
Mg 0.205 0.795 0.750
Mg 0.795 0.205 0.250
Cu 0.478 0.522 0.250
Cu 0.522 0.478 0.750
Te 0.108 0.892 0.250
Te 0.892 0.108 0.750
Se 0.355 0.645 0.093
Se 0.355 0.645 0.407
Se 0.645 0.355 0.593
Se 0.645 0.355 0.907

Record 3
Computed, not measured: a relaxed NpPdW crystal at the PBE-GGA level of DFT.

E_form	78.3	kJ per mole of atoms
E above lowest polymorph	0	meV per atom
M_tot	2.85	μB/cell
SG	F-43m, No. 216

a b c (Å): 4.421 4.421 4.421
angles (deg): 60.00 60.00 60.00
Fractional coordinates of all 3 atoms:
Np 0.000 0.000 0.000
Pd 0.500 0.500 0.500
W 0.750 0.750 0.750

Record 4
Computed, not measured: a relaxed Y2Ta4As3N3 crystal at the PBE-GGA level of DFT.

M_tot	0.00	μB/cell
SG	C2/c, No. 15

a b c (Å): 5.922 5.922 12.615
angles (deg): 103.31 103.31 60.41
Fractional coordinates of all 24 atoms:
Y 0.035 0.873 0.608
Y 0.127 0.965 0.892
Y 0.873 0.035 0.108
Y 0.965 0.127 0.392
Ta 0.198 0.364 0.087
Ta 0.306 0.467 0.414
Ta 0.364 0.198 0.587
Ta 0.467 0.306 0.914
Ta 0.533 0.694 0.086
Ta 0.636 0.802 0.413
Ta 0.694 0.533 0.586
Ta 0.802 0.636 0.913
As 0.081 0.287 0.751
As 0.287 0.081 0.251
As 0.448 0.552 0.750
As 0.552 0.448 0.250
As 0.713 0.919 0.749
As 0.919 0.713 0.249
N 0.000 0.500 0.500
N 0.169 0.663 0.000
N 0.337 0.831 0.500
N 0.500 0.000 0.000
N 0.663 0.169 0.500
N 0.831 0.337 0.000

Record 5
Computed, not measured: a relaxed Nd4TlIn crystal at the PBE-GGA level of DFT.

M_tot	1.06	μB/cell
SG	P2_1/m, No. 11

a b c (Å): 5.513 6.973 9.695
angles (deg): 90.00 90.05 90.00
Fractional coordinates of all 12 atoms:
Nd 0.250 0.010 0.226
Nd 0.250 0.250 0.903
Nd 0.250 0.490 0.226
Nd 0.250 0.750 0.577
Nd 0.750 0.250 0.423
Nd 0.750 0.510 0.774
Nd 0.750 0.750 0.097
Nd 0.750 0.990 0.774
Tl 0.250 0.250 0.579
Tl 0.750 0.750 0.421
In 0.250 0.750 0.913
In 0.750 0.250 0.087

Record 6
Computed, not measured: a relaxed ScAgTe3Pb crystal at the PBE-GGA level of DFT.

E above lowest polymorph	38	meV per atom
M_tot	0.02	μB/cell
SG	Pnma, No. 62

a b c (Å): 10.118 4.295 16.398
angles (deg): 90.00 90.00 90.00
Fractional coordinates of all 24 atoms:
Sc 0.176 0.250 0.021
Sc 0.324 0.750 0.521
Sc 0.676 0.250 0.479
Sc 0.824 0.750 0.979
Ag 0.162 0.750 0.853
Ag 0.338 0.250 0.353
Ag 0.662 0.750 0.647
Ag 0.838 0.250 0.147
Te 0.025 0.750 0.108
Te 0.149 0.250 0.471
Te 0.172 0.750 0.685
Te 0.328 0.250 0.185
Te 0.351 0.750 0.971
Te 0.475 0.250 0.608
Te 0.525 0.750 0.392
Te 0.649 0.250 0.029
Te 0.672 0.750 0.815
Te 0.828 0.250 0.315
Te 0.851 0.750 0.529
Te 0.975 0.250 0.892
Pb 0.047 0.750 0.311
Pb 0.453 0.250 0.811
Pb 0.547 0.750 0.189
Pb 0.953 0.250 0.689

Record 7
Computed, not measured: a relaxed Er6FeNi2 crystal at the PBE-GGA level of DFT.

E_form	-14.9	kJ per mole of atoms
M_tot	0.08	μB/cell
SG	C2/m, No. 12

a b c (Å): 6.023 6.023 7.966
angles (deg): 97.73 97.73 45.04
Fractional coordinates of all 9 atoms:
Er 0.066 0.066 0.210
Er 0.350 0.350 0.070
Er 0.353 0.353 0.488
Er 0.647 0.647 0.512
Er 0.650 0.650 0.930
Er 0.934 0.934 0.790
Fe 0.000 0.000 0.500
Ni 0.188 0.188 0.743
Ni 0.812 0.812 0.257

Record 8
Computed, not measured: a relaxed NbAsNO crystal at the PBE-GGA level of DFT.

E above lowest polymorph	0	meV per atom
M_tot	0.00	μB/cell
SG	Pmc2_1, No. 26

a b c (Å): 3.666 6.675 5.426
angles (deg): 90.00 90.00 90.00
Fractional coordinates of all 8 atoms:
Nb 0.000 0.177 0.000
Nb 0.000 0.823 0.500
As 0.500 0.487 0.950
As 0.500 0.513 0.450
N 0.500 0.206 0.852
N 0.500 0.794 0.352
O 0.000 0.098 0.329
O 0.000 0.902 0.829

Record 9
Computed, not measured: a relaxed LaPrGe2Au2 crystal at the PBE-GGA level of DFT.

M_tot	0.00	μB/cell
SG	P3m1, No. 156

a b c (Å): 4.568 4.568 7.881
angles (deg): 90.00 90.00 120.00
Fractional coordinates of all 6 atoms:
La 0.000 0.000 0.000
Pr 0.000 0.000 0.499
Ge 0.333 0.667 0.712
Ge 0.667 0.333 0.217
Au 0.333 0.667 0.275
Au 0.667 0.333 0.764

Record 10
Computed, not measured: a relaxed LaTbMg2 crystal at the PBE-GGA level of DFT.

M_tot	0.01	μB/cell
SG	Fm-3m, No. 225

a b c (Å): 5.484 5.484 5.484
angles (deg): 60.00 60.00 60.00
Fractional coordinates of all 4 atoms:
La 0.000 0.000 0.000
Tb 0.500 0.500 0.500
Mg 0.250 0.250 0.250
Mg 0.750 0.750 0.750

Record 11
Computed, not measured: a relaxed Al2Co11 crystal at the PBE-GGA level of DFT.

E above lowest polymorph	18	meV per atom
M_tot	16.31	μB/cell
SG	R-3m, No. 166

a b c (Å): 8.440 8.440 8.440
angles (deg): 31.94 31.94 31.94
Fractional coordinates of all 13 atoms:
Al 0.166 0.166 0.166
Al 0.834 0.834 0.834
Co 0.000 0.000 0.000
Co 0.091 0.091 0.584
Co 0.091 0.584 0.091
Co 0.347 0.347 0.347
Co 0.416 0.909 0.909
Co 0.453 0.453 0.453
Co 0.547 0.547 0.547
Co 0.584 0.091 0.091
Co 0.653 0.653 0.653
Co 0.909 0.416 0.909
Co 0.909 0.909 0.416

Record 12
Computed, not measured: a relaxed SrIn3Pd2 crystal at the PBE-GGA level of DFT.

SG	P6/mmm, No. 191

a b c (Å): 6.032 6.032 4.418
angles (deg): 90.00 90.00 120.00
Fractional coordinates of all 6 atoms:
Sr 0.000 0.000 0.000
In 0.000 0.500 0.500
In 0.500 0.000 0.500
In 0.500 0.500 0.500
Pd 0.333 0.667 0.000
Pd 0.667 0.333 0.000

Record 13
Computed, not measured: a relaxed HfNbCoSb crystal at the PBE-GGA level of DFT.

E above lowest polymorph	0	meV per atom
M_tot	0.97	μB/cell
SG	F-43m, No. 216

a b c (Å): 4.629 4.629 4.629
angles (deg): 60.00 60.00 60.00
Fractional coordinates of all 4 atoms:
Hf 0.000 0.000 0.000
Nb 0.250 0.250 0.250
Co 0.750 0.750 0.750
Sb 0.500 0.500 0.500

Record 14
Computed, not measured: a relaxed DyErMg2Ge2 crystal at the PBE-GGA level of DFT.

M_tot	0.02	μB/cell
SG	I4mm, No. 107

a b c (Å): 8.167 8.167 8.167
angles (deg): 150.43 150.43 42.32
Fractional coordinates of all 6 atoms:
Dy 0.000 0.000 0.000
Er 0.340 0.340 0.000
Mg 0.170 0.670 0.500
Mg 0.670 0.170 0.500
Ge 0.534 0.534 0.000
Ge 0.806 0.806 0.000

Record 15
Computed, not measured: a relaxed U2Ni12As7 crystal at the PBE-GGA level of DFT.

M_tot	4.93	μB/cell
SG	P-6, No. 174

a b c (Å): 9.366 9.366 3.811
angles (deg): 90.00 90.00 120.00
Fractional coordinates of all 21 atoms:
U 0.000 0.000 0.000
U 0.333 0.667 0.500
Ni 0.050 0.278 0.500
Ni 0.095 0.714 0.000
Ni 0.228 0.950 0.500
Ni 0.286 0.381 0.000
Ni 0.449 0.215 0.000
Ni 0.516 0.462 0.500
Ni 0.538 0.054 0.500
Ni 0.619 0.905 0.000
Ni 0.722 0.772 0.500
Ni 0.767 0.551 0.000
Ni 0.785 0.233 0.000
Ni 0.946 0.484 0.500
As 0.073 0.445 0.000
As 0.264 0.216 0.500
As 0.372 0.927 0.000
As 0.555 0.628 0.000
As 0.667 0.333 0.500
As 0.784 0.047 0.500
As 0.953 0.736 0.500

Record 16
Computed, not measured: a relaxed HoBeTl crystal at the PBE-GGA level of DFT.

E above lowest polymorph	0	meV per atom
M_tot	0.00	μB/cell
SG	F-43m, No. 216

a b c (Å): 4.673 4.673 4.673
angles (deg): 60.00 60.00 60.00
Fractional coordinates of all 3 atoms:
Ho 0.000 0.000 0.000
Be 0.500 0.500 0.500
Tl 0.750 0.750 0.750

Record 17
Computed, not measured: a relaxed PuNpRe crystal at the PBE-GGA level of DFT.

E_form	36.0	kJ per mole of atoms
E above lowest polymorph	0	meV per atom
M_tot	2.03	μB/cell
SG	F-43m, No. 216

a b c (Å): 4.320 4.320 4.320
angles (deg): 60.00 60.00 60.00
Fractional coordinates of all 3 atoms:
Pu 0.000 0.000 0.000
Np 0.750 0.750 0.750
Re 0.250 0.250 0.250

Record 18
Computed, not measured: a relaxed DyY2In3PtAu2 crystal at the PBE-GGA level of DFT.

M_tot	0.03	μB/cell
SG	Amm2, No. 38

a b c (Å): 3.953 7.729 7.729
angles (deg): 119.99 90.00 90.00
Fractional coordinates of all 9 atoms:
Dy 0.000 0.000 0.000
Y 0.000 0.198 0.599
Y 0.000 0.599 0.198
In 0.500 0.342 0.342
In 0.500 0.599 0.856
In 0.500 0.856 0.599
Pt 0.000 0.599 0.599
Au 0.500 0.265 0.932
Au 0.500 0.932 0.265

Record 19
Computed, not measured: a relaxed Cd3Te3SeO12 crystal at the PBE-GGA level of DFT.

SG	Cmc2_1, No. 36

a b c (Å): 9.723 9.723 18.368
angles (deg): 90.00 90.00 39.95
Fractional coordinates of all 76 atoms:
Cd 0.121 0.470 0.849
Cd 0.156 0.447 0.184
Cd 0.192 0.201 0.000
Cd 0.201 0.192 0.500
Cd 0.447 0.156 0.684
Cd 0.470 0.121 0.349
Cd 0.530 0.879 0.849
Cd 0.553 0.844 0.184
Cd 0.799 0.808 0.000
Cd 0.808 0.799 0.500
Cd 0.844 0.553 0.684
Cd 0.879 0.530 0.349
Te 0.020 0.738 0.670
Te 0.079 0.700 0.340
Te 0.262 0.980 0.670
Te 0.300 0.921 0.340
Te 0.373 0.420 0.008
Te 0.420 0.373 0.508
Te 0.580 0.627 0.008
Te 0.627 0.580 0.508
Te 0.700 0.079 0.840
Te 0.738 0.020 0.170
Te 0.921 0.300 0.840
Te 0.980 0.262 0.170
Se 0.028 0.972 0.516
Se 0.366 0.634 0.817
Se 0.634 0.366 0.317
Se 0.972 0.028 0.016
O 0.010 0.990 0.426
O 0.011 0.840 0.052
O 0.017 0.229 0.732
O 0.106 0.520 0.727
O 0.141 0.859 0.777
O 0.145 0.469 0.980
O 0.150 0.581 0.458
O 0.160 0.989 0.052
O 0.167 0.452 0.314
O 0.170 0.184 0.375
O 0.182 0.222 0.120
O 0.184 0.170 0.875
O 0.222 0.182 0.620
O 0.229 0.017 0.232
O 0.267 0.733 0.547
O 0.309 0.412 0.601
O 0.318 0.534 0.871
O 0.412 0.309 0.101
O 0.419 0.850 0.458
O 0.450 0.550 0.256
O 0.452 0.167 0.814
O 0.466 0.682 0.871
O 0.469 0.145 0.480
O 0.480 0.894 0.727
O 0.520 0.106 0.227
O 0.531 0.855 0.980
O 0.534 0.318 0.371
O 0.548 0.833 0.314
O 0.550 0.450 0.756
O 0.581 0.150 0.958
O 0.588 0.691 0.601
O 0.682 0.466 0.371
O 0.691 0.588 0.101
O 0.733 0.267 0.047
O 0.771 0.983 0.732
O 0.778 0.818 0.120
O 0.816 0.830 0.375
O 0.818 0.778 0.620
O 0.830 0.816 0.875
O 0.833 0.548 0.814
O 0.840 0.011 0.552
O 0.850 0.419 0.958
O 0.855 0.531 0.480
O 0.859 0.141 0.277
O 0.894 0.480 0.227
O 0.983 0.771 0.232
O 0.989 0.160 0.552
O 0.990 0.010 0.926

no.,uncorrected energy (eV per atom)
1,-5.22
2,-4.48
3,-9.49
4,-9.14
5,-4.34
6,-4.32
7,-5.36
8,-7.85
9,-5.10
10,-3.26
11,-6.60
12,-3.89
13,-7.73
14,-4.24
15,-6.22
16,-3.32
17,-12.73
18,-5.10
19,-4.98